Below is crystalline CrGeSO at its relaxed geometry, with properties calculated at the PBE with a Hubbard U level.

CIF file:
```
data_CrGeSO
_space_group_name_H-M_alt 'P 1'
_space_group_IT_number 1
_cell_length_a 3.168
_cell_length_b 3.168
_cell_length_c 8.119
_cell_angle_alpha 100.82
_cell_angle_beta 90.20
_cell_angle_gamma 119.99
loop_
_space_group_symop_operation_xyz
'x,y,z'
loop_
_atom_site_label
_atom_site_type_symbol
_atom_site_fract_x
_atom_site_fract_y
_atom_site_fract_z
_atom_site_occupancy
Cr1 Cr 0.000 0.000 0.000 1
Ge1 Ge 0.534 0.079 0.605 1
S1 S 0.729 0.455 0.187 1
O1 O 0.612 0.229 0.838 1
```

## Properties
Energy above the most stable polymorph in this dataset in meV per atom: 212
Total magnetic moment in μB/f.u.: 3.01